Density functional theory data (PBE) for a relaxed structure of PmZrHgSb.

Results
Volume (Å³ per cell): 100.2
Space group: No. 216
Magnetic moment (μB/f.u.): 0.4
Total DFT energy (no corrections) (eV/atom): -4.8344

Unit cell a=5.2138 b=5.2138 c=5.2138 alpha=60.00 beta=60.00 gamma=60.00
Closest atoms and distances in Å follow each position.
Element x y z (fractional)
Pm 0.0000 0.0000 0.0000  4 Sb 3.19, 4 Hg 3.19
Zr 0.5000 0.5000 0.5000  4 Sb 3.19, 4 Hg 3.19
Hg 0.2500 0.2500 0.2500  4 Zr 3.19, 4 Pm 3.19
Sb 0.7500 0.7500 0.7500  4 Zr 3.19, 4 Pm 3.19